First-principles (PBE with a Hubbard U) data for a relaxed CrHPbO2 crystal, as listed in Alexandria.

The structure belongs to space group P4/mmm (No. 123); the cell edges are 4.049, 4.049 and 3.643 Å and the angles 90.00°, 90.00° and 90.00°. The asymmetric unit holds Cr at (0.000, 0.000, 0.000), H at (0.000, 0.000, 0.500), Pb at (0.500, 0.500, 0.500) and O at (0.000, 0.500, 0.000).

As for the total magnetization: 3.000 μB/f.u. The value obtained for the raw total energy is -5.851 eV/atom.